DFT (PBE) results for a relaxed structure of Rb2Sn3Pb5.

Computed properties:
* calculated density: 6.93 g cm⁻³
* V: 37.44 Å³ per atom
* E_form: -1.1 eV/f.u.
* E_tot: -33.57 eV/f.u.

Cell lengths 5.2266, 5.2266, 13.7072 Å; angles 90.00, 90.00, 90.00 degrees
Space group P-4m2 (No. 115)
Symmetry-distinct sites (fractional):
Rb  0.0000  0.5000  0.2440 [2 per cell]
Sn  0.0000  0.0000  0.0000 [1 per cell]
Sn  0.0000  0.5000  0.8755 [2 per cell]
Pb  0.0000  0.0000  0.5000 [1 per cell]
Pb  0.0000  0.5000  0.6405 [2 per cell]
Pb  0.5000  0.5000  0.0000 [1 per cell]
Pb  0.5000  0.5000  0.5000 [1 per cell]